Entry 1:
Below is crystalline Nd2DyPaBi4 at its relaxed geometry, with properties calculated at the PBE level.

```
Nd2DyPaBi4
1.0
-0.802 -1.879 -4.046
6.028 -4.925 1.092
-6.586 -3.284 2.830
Bi Nd Pa Dy
4 2 1 1
Direct
0.500 0.248 0.240
0.500 0.752 0.760
0.000 0.748 0.242
0.000 0.252 0.758
0.000 0.500 0.500
0.500 0.000 0.500
0.500 0.500 0.000
0.000 0.000 0.000
```

Computed properties:
M_tot: 0.13 μB/atom
ΔE_f: -0.702 eV per atom
density of states at the Fermi level: 7.4 states/eV/cell
space group: P2/m, No. 10
final energy: -44.8 eV/cell

Entry 2:
Below is crystalline Pm3NdDy2Bi6 at its relaxed geometry, with properties calculated at the PBE level.

```
Pm3NdDy2Bi6
1.0
-3.170 -3.260 0.206
3.382 -2.784 7.975
-5.182 8.376 2.536
Nd Pm Bi Dy
1 3 6 2
Direct
0.500 0.000 0.000
0.166 0.832 0.331
0.834 0.168 0.669
0.500 0.500 0.000
0.332 0.421 0.664
0.002 0.253 0.004
0.668 0.579 0.336
0.332 0.912 0.665
0.668 0.088 0.335
0.998 0.747 0.996
0.167 0.334 0.334
0.833 0.666 0.666
```

Computed properties:
M_tot: 0.00 μB/atom
ΔE_f: -0.912 eV per atom
density of states at the Fermi level: 2.0 states/eV/cell
space group: C2/m, No. 12
final energy: -62.5 eV/cell

Entry 3:
Below is crystalline PmNd2DyBi4 at its relaxed geometry, with properties calculated at the PBE level.

```
PmNd2DyBi4
1.0
-1.268 2.585 3.551
3.758 -4.922 4.924
7.485 2.399 0.926
Dy Bi Nd Pm
1 4 2 1
Direct
0.000 0.500 0.500
0.000 0.254 0.252
0.500 0.744 0.255
0.000 0.746 0.748
0.500 0.256 0.745
0.000 0.000 0.000
0.500 0.000 0.500
0.500 0.500 0.000
```

Computed properties:
M_tot: 0.00 μB/atom
ΔE_f: -0.922 eV per atom
density of states at the Fermi level: 1.2 states/eV/cell
space group: P2/m, No. 10
final energy: -41.8 eV/cell

Entry 4:
Below is crystalline PmNdDy2Bi4 at its relaxed geometry, with properties calculated at the PBE level.

```
PmNdDy2Bi4
1.0
4.540 0.000 0.000
0.000 7.849 -0.152
0.000 2.765 7.356
Nd Bi Dy Pm
1 4 2 1
Direct
0.500 0.500 0.000
0.000 0.758 0.746
0.500 0.242 0.752
0.000 0.242 0.254
0.500 0.758 0.248
0.000 0.000 0.000
0.500 0.000 0.500
0.000 0.500 0.500
```

Computed properties:
M_tot: 0.00 μB/atom
ΔE_f: -0.900 eV per atom
density of states at the Fermi level: 1.2 states/eV/cell
space group: P2/m, No. 10
final energy: -41.4 eV/cell

Entry 5:
Below is crystalline Pm3Nd2DyBi6 at its relaxed geometry, with properties calculated at the PBE level.

```
Pm3Nd2DyBi6
1.0
-4.497 0.601 0.579
-1.307 -1.127 -8.978
1.475 -9.557 3.311
Nd Bi Pm Dy
2 6 3 1
Direct
0.166 0.333 0.332
0.834 0.667 0.668
0.665 0.081 0.329
0.999 0.245 0.998
0.666 0.584 0.333
0.335 0.919 0.671
0.001 0.755 0.002
0.334 0.416 0.667
0.832 0.166 0.664
0.500 0.500 0.000
0.168 0.834 0.336
0.500 0.000 0.000
```

Computed properties:
M_tot: 0.00 μB/atom
ΔE_f: -0.928 eV per atom
density of states at the Fermi level: 2.0 states/eV/cell
space group: C2/m, No. 12
final energy: -62.8 eV/cell

Entry 6:
Below is crystalline Pm2NdDy3Bi6 at its relaxed geometry, with properties calculated at the PBE level.

```
Pm2NdDy3Bi6
1.0
4.534 0.000 0.000
0.000 9.056 0.333
-2.267 -2.599 9.525
Dy Bi Nd Pm
3 6 1 2
Direct
0.834 0.167 0.667
0.500 0.500 0.000
0.166 0.833 0.333
0.331 0.921 0.662
0.001 0.745 0.003
0.335 0.413 0.670
0.999 0.255 0.997
0.665 0.587 0.330
0.669 0.079 0.338
0.500 0.000 0.000
0.167 0.333 0.334
0.833 0.667 0.666
```

Computed properties:
M_tot: 0.00 μB/atom
ΔE_f: -0.900 eV per atom
density of states at the Fermi level: 2.0 states/eV/cell
space group: C2/m, No. 12
final energy: -62.2 eV/cell